<1>
CaTe2N2 after structural relaxation. Source: the Alexandria database, functional GGA-PBE.

Output
Crystal system: tetragonal
M_tot in μB/atom: 0.613

Cell lengths 6.1128, 6.1128, 4.6242 Å; angles 90.00, 90.00, 90.00 degrees
Space group P4/mmm (No. 123)
Inequivalent atoms, fractional coordinates:
Ca (0.0000, 0.0000, 0.0000) [1 per cell]
Te (0.0000, 0.5000, 0.0000) [2 per cell]
N (0.0000, 0.0000, 0.5000) [1 per cell]
N (0.5000, 0.5000, 0.5000) [1 per cell]

=====

<2>
CaTe2N2 after structural relaxation. Source: the Alexandria database, functional GGA-PBE.

Output
Crystal system: tetragonal
M_tot in μB/atom: 0.191

Cell lengths 4.2318, 4.2318, 6.1845 Å; angles 90.00, 90.00, 90.00 degrees
Space group P4/mmm (No. 123)
Inequivalent atoms, fractional coordinates:
Ca (0.0000, 0.0000, 0.0000) [1 per cell]
Te (0.5000, 0.5000, 0.0000) [1 per cell]
Te (0.5000, 0.5000, 0.5000) [1 per cell]
N (0.0000, 0.5000, 0.5000) [2 per cell]

=====

Stability order, top to bottom: <2>, <1>

=====

<1>
Ca4Te2N after structural relaxation. Source: the Alexandria database, functional GGA-PBE.

Output
Crystal system: tetragonal
M_tot in μB/atom: 0.000

Cell lengths 4.8417, 4.8417, 15.7965 Å; angles 90.00, 90.00, 90.00 degrees
Space group I4/mmm (No. 139)
Inequivalent atoms, fractional coordinates:
Ca (0.0000, 0.0000, 0.1541) [4 per cell]
Ca (0.0000, 0.5000, 0.0000) [4 per cell]
Te (0.0000, 0.0000, 0.3572) [4 per cell]
N (0.0000, 0.0000, 0.0000) [2 per cell]

=====

<2>
Ca4Te2N after structural relaxation. Source: the Alexandria database, functional GGA-PBE.

Output
Crystal system: monoclinic
M_tot in μB/atom: 0.138

Cell lengths 12.8124, 3.9948, 8.1108 Å; angles 90.00, 116.00, 90.00 degrees
Space group C2/m (No. 12)
Inequivalent atoms, fractional coordinates:
Ca (0.0549, 0.0000, 0.3242) [4 per cell]
Ca (0.1349, 0.5000, 0.0504) [4 per cell]
Te (0.1647, 0.5000, 0.6831) [4 per cell]
N (0.0000, 0.0000, 0.0000) [2 per cell]

=====

Stability order, top to bottom: <1>, <2>

=====

<1>
Ca6Te3N2 after structural relaxation. Source: the Alexandria database, functional GGA-PBE.

Output
Crystal system: tetragonal
M_tot in μB/atom: 0.000

Cell lengths 4.7634, 4.7634, 25.5312 Å; angles 90.00, 90.00, 90.00 degrees
Space group I4/mmm (No. 139)
Inequivalent atoms, fractional coordinates:
Ca (0.0000, 0.0000, 0.1899) [4 per cell]
Ca (0.0000, 0.5000, 0.0862) [8 per cell]
Te (0.0000, 0.0000, 0.3185) [4 per cell]
Te (0.0000, 0.0000, 0.5000) [2 per cell]
N (0.0000, 0.0000, 0.1029) [4 per cell]

=====

<2>
Ca6Te3N2 after structural relaxation. Source: the Alexandria database, functional GGA-PBE.

Output
Crystal system: trigonal
M_tot in μB/atom: 0.000

Cell lengths 12.0993, 12.0993, 13.1564 Å; angles 90.00, 90.00, 120.00 degrees
Space group R-3c (No. 167, hexagonal axes)
Inequivalent atoms, fractional coordinates:
Ca (0.0226, 0.1594, 0.3812) [36 per cell]
Te (0.0000, 0.3745, 0.2500) [18 per cell]
N (0.0000, 0.0000, 0.0000) [6 per cell]
N (0.0000, 0.0000, 0.2500) [6 per cell]

=====

Stability order, top to bottom: <2>, <1>

=====

<1>
CaTeN after structural relaxation. Source: the Alexandria database, functional GGA-PBE.

Output
Crystal system: monoclinic
M_tot in μB/atom: 0.000

Cell lengths 9.0869, 5.9326, 6.3850 Å; angles 90.00, 94.39, 90.00 degrees
Space group C2/m (No. 12)
Inequivalent atoms, fractional coordinates:
Ca (0.1904, 0.0000, 0.2530) [4 per cell]
Te (0.1665, 0.0000, 0.7594) [4 per cell]
N (0.0551, 0.5000, 0.5465) [4 per cell]

=====

<2>
CaTeN after structural relaxation. Source: the Alexandria database, functional GGA-PBE.

Output
Crystal system: monoclinic
M_tot in μB/atom: 0.000

Cell lengths 9.6278, 4.4323, 8.9398 Å; angles 90.00, 103.39, 90.00 degrees
Space group P2_1/c (No. 14)
Inequivalent atoms, fractional coordinates:
Ca (0.1583, 0.2470, 0.4143) [4 per cell]
Te (0.1804, 0.7497, 0.1698) [4 per cell]
N (0.4465, 0.0555, 0.4865) [4 per cell]

=====

Stability order, top to bottom: <2>, <1>